## MgMo2Os (PBE)

Data for a relaxed structure of MgMo2Os.

Results
- Fermi-level density of states (states/eV per cell) = 3.4
- space-group type = I4/mmm
- raw total energy (eV/atom) = -8.307
- V (Å³ per atom) = 15.6
- ΔE_f (eV/f.u.) = 1.26

Structure (CIF):
```
data_MgMo2Os
_cell_length_a 5.0859
_cell_length_b 5.0859
_cell_length_c 5.0859
_cell_angle_alpha 136.17
_cell_angle_beta 136.17
_cell_angle_gamma 63.72
_symmetry_space_group_name_H-M 'P 1'
_symmetry_Int_Tables_number 1
loop_
_symmetry_equiv_pos_as_xyz
'x,y,z'
loop_
_atom_site_label
_atom_site_type_symbol
_atom_site_fract_x
_atom_site_fract_y
_atom_site_fract_z
_atom_site_occupancy
Mg1 Mg 0.7500 0.2500 0.5000 1
Os1 Os 0.2500 0.7500 0.5000 1
Mo1 Mo 0.0000 0.0000 0.0000 1
Mo2 Mo 0.5000 0.5000 0.0000 1
```